A plane-wave DFT calculation with PBE was carried out for a relaxed Zn2PdPb crystal.

Values from the calculation:
Crystal system: cubic
Space-group type: F-43m, No. 216

Unit cell a=4.7424 b=4.7424 c=4.7424 alpha=60.00 beta=60.00 gamma=60.00
Closest atoms and distances in Å follow each position.
Positions (direct):
Zn (0.0000, 0.0000, 0.0000)  4 Pd 2.90, 4 Zn 2.90
Zn (0.2500, 0.2500, 0.2500)  4 Pb 2.90, 4 Zn 2.90
Pd (0.7500, 0.7500, 0.7500)  4 Pb 2.90, 4 Zn 2.90
Pb (0.5000, 0.5000, 0.5000)  4 Pd 2.90, 4 Zn 2.90

=====

A plane-wave DFT calculation with PBE was carried out for a relaxed HfFeSiNi crystal.

Values from the calculation:
Crystal system: cubic
Total magnetization (μB/cell): 2.15
Energy above the most stable polymorph in this dataset (meV/atom): 309
Space-group type: F-43m, No. 216

Unit cell a=4.2930 b=4.2930 c=4.2930 alpha=60.00 beta=60.00 gamma=60.00
Closest atoms and distances in Å follow each position.
Positions (direct):
Hf (0.0000, 0.0000, 0.0000)  4 Fe 2.63, 4 Si 2.63
Fe (0.7500, 0.7500, 0.7500)  4 Ni 2.63, 4 Hf 2.63
Si (0.2500, 0.2500, 0.2500)  4 Hf 2.63, 4 Ni 2.63
Ni (0.5000, 0.5000, 0.5000)  4 Fe 2.63, 4 Si 2.63

=====

Results for electronic total energy: -2.835 -7.479 (in eV per atom, following the order of the records).